Ti2NiPtN | GGA-PBE | relaxed

Properties
- magnetization (Bohr magnetons per cell) = 0.000
- ρ (g cm⁻³) = 9.46
- VASP energy (eV/cell) = -40.7
- crystal system = tetragonal

Cell: 4.092 4.092 3.808 Å, 90.00 90.00 90.00°
Fractional positions:
N (0.000, 0.000, 0.000)
Pt (0.500, 0.500, 0.500)
Ti (0.500, 0.000, 0.000)
Ti (0.000, 0.500, 0.000)
Ni (0.000, 0.000, 0.500)